Material: BaBeAs2
Method: DFT, PBE-GGA
State: optimized geometry

Lattice parameters (Å, degrees): 7.2619 7.2619 7.2619 90.00 90.00 90.00
Space group F-43m (No. 216)
One atom of each set of equivalent atoms:
Ba (0.0000, 0.0000, 0.0000) x4
Be (0.2500, 0.2500, 0.2500) x4
As (0.0000, 0.0000, 0.5000) x4
As (0.2500, 0.2500, 0.7500) x4

Results
E_tot (eV per atom): -3.423
Density of states at the Fermi level (states/eV/f.u.): 3.73
Energy relative to the elements (eV per atom): 0.31
Mass density (Mg/m³): 5.137



Material: Nd2Zn5Ir
Method: DFT, PBE-GGA
State: optimized geometry

Lattice parameters (Å, degrees): 4.2009 16.5907 9.1193 90.00 90.00 90.00
Space group Cmcm (No. 63)
One atom of each set of equivalent atoms:
Nd (0.0000, 0.0000, 0.0000) x4
Nd (0.0000, 0.1848, 0.2500) x4
Zn (0.0000, 0.1933, 0.6102) x8
Zn (0.0000, 0.3530, 0.5184) x8
Zn (0.0000, 0.3994, 0.2500) x4
Ir (0.0000, 0.4460, 0.7500) x4

Results
E_tot (eV per atom): -3.471
Density of states at the Fermi level (states/eV/f.u.): 4.81
Energy relative to the elements (eV per atom): -0.37
Mass density (Mg/m³): 8.441



Material: RbBPO2
Method: DFT, PBE-GGA
State: optimized geometry

Lattice parameters (Å, degrees): 4.2307 4.2307 3.7281 90.00 90.00 90.00
Space group P4/mmm (No. 123)
One atom of each set of equivalent atoms:
Rb (0.0000, 0.0000, 0.0000) x1
B (0.5000, 0.5000, 0.5000) x1
P (0.5000, 0.5000, 0.0000) x1
O (0.0000, 0.5000, 0.5000) x2

Results
E_tot (eV per atom): -4.255
Density of states at the Fermi level (states/eV/f.u.): 2.17
Energy above the lowest structure with this stoichiometry (eV per atom): 0.0000
Formation energy from raw total energies (eV per atom): 0.339
Mass density (Mg/m³): 3.963



Question: Which value of mass density does entry 1 give?
Answer: 5.137 Mg/m³